VASP calculation (meta-GGA SCAN) on Be4CoRh at its PBEsol-relaxed geometry.

Lattice parameters (Å, degrees): 4.1957 4.1957 4.1957 60.00 60.00 60.00
Closest atoms and distances in Å follow each position.
Positions (direct):
Be: 0.3754 0.3754 0.8737  6 Be 2.09-2.11
Co: 0.7500 0.7500 0.7500  12 Be 2.46, 4 Rh 2.57
Rh: 0.0000 0.0000 0.0000  12 Be 2.46, 4 Co 2.57
Be: 0.3754 0.8737 0.3754  6 Be 2.09-2.11
Be: 0.3754 0.3754 0.3754  6 Be 2.09-2.11
Be: 0.8737 0.3754 0.3754  6 Be 2.09-2.11

## Properties
V, A^3/atom: 8.70
DOS(E_F), states/eV/atom: 0.57
Formation energy, eV per atom: -0.40
Crystal system: cubic



VASP calculation (meta-GGA SCAN) on BeCo2Rh at its PBEsol-relaxed geometry.

Lattice parameters (Å, degrees): 2.5338 2.5338 7.8529 80.72 80.72 60.00
Closest atoms and distances in Å follow each position.
Positions (direct):
Rh: 0.5000 0.5000 0.5000  6 Rh 2.53, 6 Co 2.55
Be: 0.0000 0.0000 0.0000  6 Co 2.29, 6 Be 2.53
Co: 0.7429 0.7429 0.7712  3 Be 2.29, 6 Co 2.53, 3 Rh 2.55
Co: 0.2571 0.2571 0.2288  3 Be 2.29, 6 Co 2.53, 3 Rh 2.55

## Properties
V, A^3/atom: 10.72
DOS(E_F), states/eV/atom: 0.79
Formation energy, eV per atom: 0.04
Crystal system: trigonal



VASP calculation (meta-GGA SCAN) on BeCoRh2 at its PBEsol-relaxed geometry.

Lattice parameters (Å, degrees): 3.7061 4.2174 3.7061 63.94 90.00 116.06
Closest atoms and distances in Å follow each position.
Positions (direct):
Rh: 0.2500 0.5000 0.2500  4 Co 2.48, 4 Be 2.48, 4 Rh 2.62
Rh: 0.7500 0.5000 0.7500  4 Co 2.48, 4 Be 2.48, 4 Rh 2.62
Co: 0.0000 0.0000 0.0000  8 Rh 2.48, 4 Be 2.62
Be: 0.5000 0.0000 0.5000  8 Rh 2.48, 4 Co 2.62

## Properties
V, A^3/atom: 11.35
DOS(E_F), states/eV/atom: 0.61
Formation energy, eV per atom: -0.12
Crystal system: tetragonal



VASP calculation (meta-GGA SCAN) on Be4CoRu at its PBEsol-relaxed geometry.

Lattice parameters (Å, degrees): 4.1961 4.1961 4.1961 60.00 60.00 60.00
Closest atoms and distances in Å follow each position.
Positions (direct):
Be: 0.3749 0.3749 0.8752  6 Be 2.10
Co: 0.7500 0.7500 0.7500  12 Be 2.46, 4 Ru 2.57
Be: 0.8752 0.3749 0.3749  6 Be 2.10
Ru: 0.0000 0.0000 0.0000  12 Be 2.46, 4 Co 2.57
Be: 0.3749 0.8752 0.3749  6 Be 2.10
Be: 0.3749 0.3749 0.3749  6 Be 2.10

## Properties
V, A^3/atom: 8.71
DOS(E_F), states/eV/atom: 0.50
Formation energy, eV per atom: -0.30
Crystal system: cubic



VASP calculation (meta-GGA SCAN) on BeCo2Ru at its PBEsol-relaxed geometry.

Lattice parameters (Å, degrees): 3.3484 3.3484 3.7403 90.00 90.00 90.00
Closest atoms and distances in Å follow each position.
Positions (direct):
Ru: 0.5000 0.5000 0.5000  4 Be 2.37, 8 Co 2.51
Co: 0.5000 0.0000 0.0000  4 Co 2.37, 4 Ru 2.51, 4 Be 2.51
Co: 0.0000 0.5000 0.0000  4 Co 2.37, 4 Ru 2.51, 4 Be 2.51
Be: 0.0000 0.0000 0.5000  4 Ru 2.37, 8 Co 2.51

## Properties
V, A^3/atom: 10.48
DOS(E_F), states/eV/atom: 0.76
Formation energy, eV per atom: -0.01
Crystal system: tetragonal



VASP calculation (meta-GGA SCAN) on BeCo2Ru at its PBEsol-relaxed geometry.

Lattice parameters (Å, degrees): 2.4995 3.6795 4.7210 90.00 105.39 90.00
Closest atoms and distances in Å follow each position.
Positions (direct):
Ru: 0.4501 0.0000 0.5257  7 Co 2.39-2.60, 4 Be 2.44, 2 Ru 2.50
Be: 0.0609 0.5000 0.7460  3 Co 2.17-2.36
Co: 0.1875 0.0000 0.0001  2 Be 2.17, 1 Ru 2.39
Co: 0.8015 0.5000 0.2282  3 Be 2.36-2.53, 6 Co 2.45-2.50, 4 Ru 2.60

## Properties
V, A^3/atom: 10.47
DOS(E_F), states/eV/atom: 0.78
Formation energy, eV per atom: 0.06
Crystal system: orthorhombic



VASP calculation (meta-GGA SCAN) on BeCo2Ru at its PBEsol-relaxed geometry.

Lattice parameters (Å, degrees): 2.5507 2.5507 6.1565 90.00 90.00 90.00
Closest atoms and distances in Å follow each position.
Positions (direct):
Ru: 0.5000 0.5000 0.0000  8 Co 2.52, 4 Ru 2.55
Co: 0.0000 0.0000 0.7148  4 Be 2.24
Be: 0.5000 0.5000 0.5000  8 Co 2.24
Co: 0.0000 0.0000 0.2852  4 Be 2.24

## Properties
V, A^3/atom: 10.01
DOS(E_F), states/eV/atom: 0.44
Formation energy, eV per atom: 0.00
Crystal system: tetragonal



VASP calculation (meta-GGA SCAN) on BeCo2Ru at its PBEsol-relaxed geometry.

Lattice parameters (Å, degrees): 2.6409 2.6409 5.8915 90.00 90.00 90.00
Closest atoms and distances in Å follow each position.
Positions (direct):
Co: 0.0000 0.0000 0.9765  4 Be 2.22, 4 Co 2.41
Co: 0.5000 0.5000 0.2340  8 Co 2.41-2.64, 4 Ru 2.51
Ru: 0.0000 0.0000 0.5180  4 Be 2.39, 4 Co 2.51, 4 Ru 2.64
Be: 0.5000 0.5000 0.7715  4 Co 2.22, 4 Ru 2.39

## Properties
V, A^3/atom: 10.27
DOS(E_F), states/eV/atom: 0.88
Formation energy, eV per atom: -0.04
Crystal system: tetragonal



VASP calculation (meta-GGA SCAN) on Be3CoRu at its PBEsol-relaxed geometry.

Lattice parameters (Å, degrees): 4.0220 4.0220 4.0220 90.00 90.00 90.00
Closest atoms and distances in Å follow each position.
Positions (direct):
Be: 0.0000 0.0000 0.5000  2 Ru 2.01
Be: 0.5000 0.0000 0.0000  2 Ru 2.01
Co: 0.5000 0.5000 0.5000  12 Be 2.84
Ru: 0.0000 0.0000 0.0000  6 Be 2.01
Be: 0.0000 0.5000 0.0000  2 Ru 2.01

## Properties
V, A^3/atom: 13.01
DOS(E_F), states/eV/atom: 0.34
Formation energy, eV per atom: 0.76
Crystal system: cubic



VASP calculation (meta-GGA SCAN) on BeCo2Ru at its PBEsol-relaxed geometry.

Lattice parameters (Å, degrees): 3.4651 3.4651 4.2320 114.17 114.17 90.00
Closest atoms and distances in Å follow each position.
Positions (direct):
Co: 0.7500 0.2500 0.5000  4 Co 2.45, 4 Ru 2.45, 4 Be 2.45
Ru: 0.5000 0.5000 0.0000  8 Co 2.45, 4 Be 2.45
Co: 0.0000 0.0000 0.0000  4 Be 2.45, 4 Co 2.45, 4 Ru 2.45
Be: 0.2500 0.7500 0.5000  4 Ru 2.45, 8 Co 2.45

## Properties
V, A^3/atom: 10.36
DOS(E_F), states/eV/atom: 0.83
Formation energy, eV per atom: 0.09
Crystal system: tetragonal



VASP calculation (meta-GGA SCAN) on BeCo2S at its PBEsol-relaxed geometry.

Lattice parameters (Å, degrees): 3.7768 3.7768 3.7768 60.00 60.00 60.00
Closest atoms and distances in Å follow each position.
Positions (direct):
Be: 0.0000 0.0000 0.0000  8 Co 2.31
Co: 0.7500 0.7500 0.7500  4 S 2.31, 4 Be 2.31
S: 0.5000 0.5000 0.5000  8 Co 2.31
Co: 0.2500 0.2500 0.2500  4 S 2.31, 4 Be 2.31

## Properties
V, A^3/atom: 9.52
DOS(E_F), states/eV/atom: 0.32
VASP energy, eV/f.u.: -48.31
Crystal system: cubic



VASP calculation (meta-GGA SCAN) on BeCoSb3 at its PBEsol-relaxed geometry.

Lattice parameters (Å, degrees): 4.8472 4.8472 4.8472 90.00 90.00 90.00
Closest atoms and distances in Å follow each position.
Positions (direct):
Co: 0.0000 0.0000 0.0000  6 Sb 2.42
Sb: 0.5000 0.0000 0.0000  2 Co 2.42
Sb: 0.0000 0.0000 0.5000  2 Co 2.42
Be: 0.5000 0.5000 0.5000  12 Sb 3.43
Sb: 0.0000 0.5000 0.0000  2 Co 2.42

## Properties
V, A^3/atom: 22.78
DOS(E_F), states/eV/atom: 1.00
VASP energy, eV/f.u.: -129.23
Crystal system: cubic



VASP calculation (meta-GGA SCAN) on BeCoSb at its PBEsol-relaxed geometry.

Lattice parameters (Å, degrees): 3.4097 3.7282 3.7282 120.00 90.00 90.00
Closest atoms and distances in Å follow each position.
Positions (direct):
Be: 0.0000 0.0000 0.0000  3 Co 2.15
Sb: 0.5000 0.6667 0.3333  6 Co 2.75, 6 Be 2.75
Co: 0.0000 0.3333 0.6667  3 Be 2.15

## Properties
V, A^3/atom: 13.68
DOS(E_F), states/eV/atom: 0.63
VASP energy, eV/f.u.: -58.03
Crystal system: hexagonal



VASP calculation (meta-GGA SCAN) on BeCo3Sb at its PBEsol-relaxed geometry.

Lattice parameters (Å, degrees): 4.5117 4.5117 4.5117 90.00 90.00 90.00
Closest atoms and distances in Å follow each position.
Positions (direct):
Co: 0.0000 0.0000 0.5000  2 Sb 2.26
Co: 0.5000 0.0000 0.0000  2 Sb 2.26
Co: 0.0000 0.5000 0.0000  2 Sb 2.26
Sb: 0.0000 0.0000 0.0000  6 Co 2.26
Be: 0.5000 0.5000 0.5000  12 Co 3.19

## Properties
V, A^3/atom: 18.37
DOS(E_F), states/eV/atom: 0.85
VASP energy, eV/f.u.: -85.65
Crystal system: cubic